--- a ---
Below is a relaxed CeDyAg2 crystal, with properties calculated at the GGA-PBE level.

## Properties
As for the space-group type: No. 123. For the calculated volume, the calculation gives 24.90 Å³ per atom.

Cell and atoms, written as POSCAR:
```
CeDyAg2
1.0
3.601 0.000 0.000
0.000 3.601 0.000
0.000 0.000 7.681
Ag Ce Dy
2 1 1
Cartesian
0.000 0.000 5.915
0.000 0.000 1.766
1.800 1.800 3.840
1.800 1.800 0.000
```

--- b ---
Below is a relaxed CeDyAg2 crystal, with properties calculated at the GGA-PBE level.

## Properties
As for the space-group type: No. 225. For the calculated volume, the calculation gives 25.06 Å³ per atom.

Cell and atoms, written as POSCAR:
```
CeDyAg2
1.0
-4.765 -2.087 0.360
-0.787 -4.202 2.986
-2.703 0.425 4.439
Ag Ce Dy
2 1 1
Cartesian
-2.064 -1.466 1.946
-6.192 -4.398 5.838
-4.128 -2.932 3.892
0.000 0.000 0.000
```

Stability, descending: a, b

--- a ---
Below is a relaxed CeDyZnAg crystal, with properties calculated at the GGA-PBE level.

## Properties
As for the space-group type: No. 99. For the calculated volume, the calculation gives 24.09 Å³ per atom.

Cell and atoms, written as POSCAR:
```
CeDyZnAg
1.0
-1.514 3.186 -0.665
-2.803 -0.904 2.052
3.445 2.886 5.978
Ce Dy Zn Ag
1 1 1 1
Cartesian
-1.750 1.484 1.403
-0.087 2.876 4.287
1.276 1.068 2.213
2.887 2.418 5.008
```

--- b ---
Below is a relaxed CeDyZnAg crystal, with properties calculated at the GGA-PBE level.

## Properties
As for the space-group type: No. 216. For the calculated volume, the calculation gives 24.38 Å³ per atom.

Cell and atoms, written as POSCAR:
```
CeDyZnAg
1.0
5.167 0.000 0.000
2.583 4.475 0.000
2.583 1.492 4.219
Zn Ag Ce Dy
1 1 1 1
Cartesian
7.750 4.475 3.164
2.583 1.492 1.055
0.000 0.000 0.000
5.167 2.983 2.109
```

Stability, descending: a, b